Entry from the Alexandria database: an optimized crystal structure of Nd4Mg5Al2 (PBE).

Summary:
E: -36.0 eV/cell
ΔH_f (0 K): -0.137 eV/atom
Magnetic moment: 0.00 μB/f.u.

Geometry as POSCAR:
```
Nd4Mg5Al2
1.0
8.1587 0.0000 0.0000
0.0000 3.5796 0.0000
-0.8012 0.0000 10.3641
Nd Mg Al
4 5 2
Direct
0.1557 0.0000 0.3724
0.2633 0.0000 0.9451
0.7367 0.0000 0.0549
0.8443 0.0000 0.6276
0.1950 0.5000 0.6655
0.4275 0.5000 0.2039
0.5000 0.5000 0.5000
0.5725 0.5000 0.7961
0.8050 0.5000 0.3345
0.0541 0.5000 0.1273
0.9459 0.5000 0.8727
```